Record 1
The following is a DFT calculation (PBE) of a relaxed structure of Zr3Zn5.

## Properties
* energy of formation from the pure elements: -262 meV per atom
* D(E_F): 23.0 states/eV/cell

abc: 8.9494 6.8460 9.3031
angles: 90.00 90.00 90.00
Last column: nearest neighbours and their distance in Å.
Space group Cmcm (No. 63)
Inequivalent atoms, fractional coordinates:
Zr 0.0000 0.1373 0.2500 [4 per cell]  9 Zn 2.73-3.01
Zr 0.2026 0.5000 0.0000 [8 per cell]  10 Zn 2.82-3.08
Zn 0.0000 0.1812 0.5471 [8 per cell]  4 Zn 2.63-2.70, 4 Zr 2.78-2.88
Zn 0.0000 0.4638 0.7500 [4 per cell]  4 Zn 2.60-2.70, 1 Zr 2.73
Zn 0.2118 0.2047 0.7500 [8 per cell]  3 Zn 2.60-2.68, 3 Zr 2.80-2.82

---

Record 2
The following is a DFT calculation (PBE) of a relaxed structure of ZrZn8.

## Properties
* energy of formation from the pure elements: -95 meV per atom
* D(E_F): 8.7 states/eV/cell

abc: 8.4242 8.4242 4.0004
angles: 90.00 90.00 90.00
Last column: nearest neighbours and their distance in Å.
Space group I4/mmm (No. 139)
Inequivalent atoms, fractional coordinates:
Zr 0.0000 0.0000 0.0000 [2 per cell]  12 Zn 2.87-2.90
Zn 0.0000 0.3404 0.0000 [8 per cell]  11 Zn 2.69-2.85, 1 Zr 2.87
Zn 0.1766 0.1766 0.5000 [8 per cell]  10 Zn 2.66-2.97, 2 Zr 2.90

---

Record 3
The following is a DFT calculation (PBE) of a relaxed structure of Zr3Zn2.

## Properties
* energy of formation from the pure elements: -119 meV per atom
* D(E_F): 23.7 states/eV/cell

abc: 4.9876 3.1551 25.0961
angles: 90.00 90.00 90.00
Last column: nearest neighbours and their distance in Å.
Space group Amm2 (No. 38)
Inequivalent atoms, fractional coordinates:
Zr 0.0000 0.0000 0.0000 [2 per cell]  6 Zn 2.83-2.96, 4 Zr 3.03-3.16
Zr 0.0000 0.0000 0.1876 [2 per cell]  6 Zn 2.84-2.97, 4 Zr 3.00-3.16
Zr 0.0000 0.0000 0.3970 [2 per cell]  10 Zr 2.96-3.16
Zr 0.0000 0.0000 0.7895 [2 per cell]  4 Zn 2.95, 6 Zr 3.00-3.16
Zr 0.5000 0.0000 0.0953 [2 per cell]  8 Zn 2.95-3.08, 2 Zr 3.16
Zr 0.5000 0.0000 0.8887 [2 per cell]  6 Zr 2.96-3.16, 4 Zn 2.99-3.02
Zn 0.0000 0.0000 0.5935 [2 per cell]  8 Zr 2.83-2.95, 2 Zn 3.16
Zn 0.5000 0.0000 0.2859 [2 per cell]  2 Zn 2.66, 4 Zr 2.95
Zn 0.5000 0.0000 0.4899 [2 per cell]  8 Zr 2.96-3.08, 2 Zn 3.16
Zn 0.5000 0.0000 0.7007 [2 per cell]  2 Zn 2.66, 4 Zr 2.97

---

Record 4
The following is a DFT calculation (PBE) of a relaxed structure of ZrZn6.

## Properties
* energy of formation from the pure elements: -103 meV per atom
* D(E_F): 5.8 states/eV/cell

abc: 8.3709 5.0723 10.3555
angles: 90.00 90.00 90.00
Last column: nearest neighbours and their distance in Å.
Space group Pnma (No. 62)
Inequivalent atoms, fractional coordinates:
Zr 0.2394 0.2500 0.0671 [4 per cell]  11 Zn 2.86-3.21
Zn 0.0473 0.7500 0.0836 [4 per cell]  5 Zn 2.54-2.74
Zn 0.0559 0.0113 0.3034 [8 per cell]  8 Zn 2.42-2.67
Zn 0.0895 0.2500 0.5196 [4 per cell]  6 Zn 2.56-2.76
Zn 0.1522 0.7500 0.8536 [4 per cell]  8 Zn 2.54-2.78
Zn 0.2026 0.2500 0.7538 [4 per cell]  7 Zn 2.47-2.74

---

Record 5
The following is a DFT calculation (PBE) of a relaxed structure of Zr5Zn3.

## Properties
* energy of formation from the pure elements: -117 meV per atom
* D(E_F): 7.3 states/eV/cell

abc: 5.6707 5.6970 5.7867
angles: 60.64 79.86 82.72
Last column: nearest neighbours and their distance in Å.
Space group P1 (No. 1)
Inequivalent atoms, fractional coordinates:
Zr 0.0000 0.0000 0.0000 [1 per cell]  2 Zn 2.71-2.76, 3 Zr 2.95-3.02
Zr 0.1036 0.0603 0.4568 [1 per cell]  3 Zn 2.76-3.00, 3 Zr 2.95-3.09
Zr 0.3441 0.5855 0.3579 [1 per cell]  4 Zn 2.85-3.05, 4 Zr 3.02-3.18
Zr 0.5310 0.0507 0.7793 [1 per cell]  5 Zn 2.94-3.26, 7 Zr 3.03-3.29
Zr 0.7843 0.5824 0.6411 [1 per cell]  6 Zn 2.87-3.19, 3 Zr 3.09-3.19
Zn 0.2606 0.5250 0.8912 [1 per cell]  2 Zn 2.65-2.79, 1 Zr 2.89
Zn 0.5757 0.1443 0.2269 [1 per cell]  2 Zn 2.52-2.79, 2 Zr 2.76
Zn 0.8280 0.5138 0.1569 [1 per cell]  2 Zn 2.52-2.65, 2 Zr 2.71-2.77

---

Record 6
The following is a DFT calculation (PBE) of a relaxed structure of Zr2Zn3.

## Properties
* energy of formation from the pure elements: 78 meV per atom
* D(E_F): 3.8 states/eV/cell

abc: 4.5754 4.5754 5.7403
angles: 90.00 90.00 120.00
Last column: nearest neighbours and their distance in Å.
Space group P-3m1 (No. 164)
Inequivalent atoms, fractional coordinates:
Zr 0.3333 0.6667 0.3327 [2 per cell]  8 Zn 2.78-2.96
Zn 0.0000 0.0000 0.5000 [1 per cell]  6 Zr 2.81
Zn 0.3333 0.6667 0.8490 [2 per cell]  5 Zr 2.78-2.96

---

Record 7
The following is a DFT calculation (PBE) of a relaxed structure of Zr5Zn3.

## Properties
* energy of formation from the pure elements: -200 meV per atom
* D(E_F): 6.7 states/eV/cell

abc: 3.3116 3.3116 14.6700
angles: 90.00 90.00 90.00
Last column: nearest neighbours and their distance in Å.
Space group P4/mmm (No. 123)
Inequivalent atoms, fractional coordinates:
Zr 0.0000 0.0000 0.0000 [1 per cell]  8 Zn 2.90
Zr 0.0000 0.0000 0.2368 [2 per cell]  4 Zn 2.93, 4 Zr 3.14
Zr 0.5000 0.5000 0.3794 [2 per cell]  4 Zn 2.93, 4 Zr 3.14
Zn 0.0000 0.0000 0.5000 [1 per cell]  8 Zr 2.93
Zn 0.5000 0.5000 0.1168 [2 per cell]  8 Zr 2.90-2.93

---

Record 8
The following is a DFT calculation (PBE) of a relaxed structure of Zr3Zn5.

## Properties
* energy of formation from the pure elements: -152 meV per atom
* D(E_F): 10.6 states/eV/cell

abc: 2.8721 19.3643 5.1563
angles: 90.00 90.00 90.00
Last column: nearest neighbours and their distance in Å.
Space group Imm2 (No. 44)
Inequivalent atoms, fractional coordinates:
Zr 0.0000 0.0000 0.0000 [2 per cell]  2 Zr 2.87, 8 Zn 2.90-3.02
Zr 0.0000 0.1244 0.4241 [4 per cell]  9 Zn 2.84-2.98, 2 Zr 2.87
Zn 0.0000 0.2486 0.7509 [4 per cell]  9 Zn 2.76-2.95, 3 Zr 2.94-2.98
Zn 0.0000 0.3641 0.4240 [4 per cell]  5 Zn 2.76-2.87, 6 Zr 2.96-3.02
Zn 0.0000 0.5000 0.0115 [2 per cell]  8 Zr 2.84-3.00, 2 Zn 2.87

---

Record 9
The following is a DFT calculation (PBE) of a relaxed structure of ZrZn3.

## Properties
* energy of formation from the pure elements: 15 meV per atom
* D(E_F): 4.6 states/eV/cell

abc: 2.9210 2.9210 28.2569
angles: 90.00 90.00 120.00
Last column: nearest neighbours and their distance in Å.
Space group R-3m (No. 166, hexagonal axes)
Inequivalent atoms, fractional coordinates:
Zr 0.0000 0.0000 0.0000 [3 per cell]  6 Zr 2.92, 6 Zn 3.02
Zn 0.0000 0.0000 0.2447 [6 per cell]  9 Zn 2.78-2.92, 3 Zr 3.02
Zn 0.0000 0.0000 0.5000 [3 per cell]  12 Zn 2.78-2.92

---

Record 10
The following is a DFT calculation (PBE) of a relaxed structure of Zr4Zn.

## Properties
* energy of formation from the pure elements: 616 meV per atom
* D(E_F): 41.3 states/eV/cell

abc: 10.0406 10.0406 10.0406
angles: 90.00 90.00 90.00
Last column: nearest neighbours and their distance in Å.
Space group Fd-3m (No. 227, origin choice 2)
Inequivalent atoms, fractional coordinates:
Zr 0.0197 0.0197 0.2303 [32 per cell]  1 Zn 2.52
Zn 0.1250 0.1250 0.6250 [8 per cell]  4 Zr 2.52

---

Record 11
The following is a DFT calculation (PBE) of a relaxed structure of Zr2Zn3.

## Properties
* energy of formation from the pure elements: -235 meV per atom
* D(E_F): 40.1 states/eV/cell

abc: 9.4450 13.8468 5.5222
angles: 90.00 90.00 90.00
Last column: nearest neighbours and their distance in Å.
Space group Fdd2 (No. 43)
Inequivalent atoms, fractional coordinates:
Zr 0.0805 0.1976 0.0000 [16 per cell]  8 Zn 2.81-3.00
Zn 0.0000 0.0000 0.1664 [8 per cell]  4 Zn 2.52-2.58
Zn 0.0732 0.1186 0.5053 [16 per cell]  4 Zn 2.52-2.74, 1 Zr 2.81

---

Record 12
The following is a DFT calculation (PBE) of a relaxed structure of Zr5Zn3.

## Properties
* energy of formation from the pure elements: -129 meV per atom
* D(E_F): 7.3 states/eV/cell

abc: 3.1210 4.9596 10.3311
angles: 90.00 90.00 90.00
Last column: nearest neighbours and their distance in Å.
Space group Pmm2 (No. 25)
Inequivalent atoms, fractional coordinates:
Zr 0.0000 0.0000 0.0000 [1 per cell]  8 Zn 2.83-3.16, 4 Zr 3.03-3.12
Zr 0.0000 0.0000 0.4648 [1 per cell]  2 Zn 2.90, 6 Zr 3.06-3.12
Zr 0.0000 0.5000 0.2589 [1 per cell]  6 Zn 2.95-2.97, 4 Zr 3.12-3.27
Zr 0.5000 0.0000 0.7487 [1 per cell]  4 Zn 3.00, 8 Zr 3.03-3.32
Zr 0.5000 0.5000 0.5512 [1 per cell]  10 Zr 3.06-3.40, 2 Zn 3.10
Zn 0.0000 0.5000 0.8109 [1 per cell]  2 Zn 2.62
Zn 0.5000 0.0000 0.2280 [1 per cell]  8 Zr 2.83-2.95, 2 Zn 3.12
Zn 0.5000 0.5000 0.0148 [1 per cell]  2 Zn 2.62, 4 Zr 2.93

---

Record 13
The following is a DFT calculation (PBE) of a relaxed structure of Zr3Zn2.

## Properties
* energy of formation from the pure elements: 6 meV per atom
* D(E_F): 4.6 states/eV/cell

abc: 4.5970 4.5970 5.7130
angles: 90.00 90.00 120.00
Last column: nearest neighbours and their distance in Å.
Space group P-3m1 (No. 164)
Inequivalent atoms, fractional coordinates:
Zr 0.0000 0.0000 0.0000 [1 per cell]  6 Zn 2.80
Zr 0.3333 0.6667 0.3500 [2 per cell]  5 Zn 2.83-2.89, 3 Zr 3.16
Zn 0.3333 0.6667 0.8446 [2 per cell]  8 Zr 2.80-2.89

---

Record 14
The following is a DFT calculation (PBE) of a relaxed structure of Zr3Zn2.

## Properties
* energy of formation from the pure elements: -126 meV per atom
* D(E_F): 29.3 states/eV/cell

abc: 9.9047 13.9900 5.7504
angles: 90.00 90.00 90.00
Last column: nearest neighbours and their distance in Å.
Space group Fdd2 (No. 43)
Inequivalent atoms, fractional coordinates:
Zr 0.0000 0.0000 0.0000 [8 per cell]  6 Zn 2.84-3.07, 2 Zr 3.18
Zr 0.0554 0.0998 0.4948 [16 per cell]  5 Zn 2.89-3.05, 5 Zr 2.95-3.22
Zn 0.0298 0.2011 0.9480 [16 per cell]  8 Zr 2.84-3.07

---

Record 15
The following is a DFT calculation (PBE) of a relaxed structure of Zr3Zn2.

## Properties
* energy of formation from the pure elements: -177 meV per atom
* D(E_F): 7.7 states/eV/cell

abc: 4.7577 5.8769 7.5074
angles: 96.41 108.45 90.06
Last column: nearest neighbours and their distance in Å.
Space group P-1 (No. 2)
Inequivalent atoms, fractional coordinates:
Zr 0.0185 0.2553 0.0356 [2 per cell]  3 Zn 2.85-2.86, 4 Zr 2.98-3.14
Zr 0.2058 0.6410 0.4109 [2 per cell]  7 Zn 2.92-3.04, 2 Zr 3.24
Zr 0.3950 0.0351 0.7888 [2 per cell]  5 Zn 2.82-3.04, 3 Zr 3.08-3.14
Zn 0.2052 0.1374 0.4124 [2 per cell]  8 Zr 2.82-2.96
Zn 0.4069 0.5235 0.8154 [2 per cell]  1 Zn 2.68, 5 Zr 2.85-2.97

---

Record 16
The following is a DFT calculation (PBE) of a relaxed structure of Zr2Zn3.

## Properties
* energy of formation from the pure elements: 0 meV per atom
* D(E_F): 10.5 states/eV/cell

abc: 3.2423 3.2423 32.0223
angles: 90.00 90.00 120.00
Last column: nearest neighbours and their distance in Å.
Space group R-3m (No. 166, hexagonal axes)
Inequivalent atoms, fractional coordinates:
Zr 0.0000 0.0000 0.0982 [6 per cell]  6 Zn 2.88-2.91
Zn 0.0000 0.0000 0.3046 [6 per cell]  3 Zn 2.63, 3 Zr 2.91
Zn 0.0000 0.0000 0.5000 [3 per cell]  6 Zr 2.88

---

Record 17
The following is a DFT calculation (PBE) of a relaxed structure of Zr4Zn.

## Properties
* energy of formation from the pure elements: 624 meV per atom
* D(E_F): 8.3 states/eV/cell

abc: 5.0094 5.0094 5.0094
angles: 90.00 90.00 90.00
Last column: nearest neighbours and their distance in Å.
Space group Pm-3m (No. 221)
Inequivalent atoms, fractional coordinates:
Zr 0.0000 0.0000 0.0000 [1 per cell]  12 Zr 3.54
Zr 0.0000 0.5000 0.5000 [3 per cell]  2 Zn 2.50
Zn 0.5000 0.5000 0.5000 [1 per cell]  6 Zr 2.50

---

Record 18
The following is a DFT calculation (PBE) of a relaxed structure of Zr3Zn5.

## Properties
* energy of formation from the pure elements: -219 meV per atom
* D(E_F): 7.3 states/eV/cell

abc: 6.8818 9.2014 4.5075
angles: 90.00 90.00 90.00
Last column: nearest neighbours and their distance in Å.
Space group Cmmm (No. 65)
Inequivalent atoms, fractional coordinates:
Zr 0.0000 0.0000 0.0000 [2 per cell]  8 Zn 2.78-2.87
Zr 0.0000 0.2703 0.5000 [4 per cell]  10 Zn 2.79-3.09
Zn 0.0000 0.5000 0.0000 [2 per cell]  8 Zn 2.87-2.90, 4 Zr 3.09
Zn 0.2355 0.0000 0.5000 [4 per cell]  6 Zr 2.78-2.97, 2 Zn 2.90
Zn 0.2500 0.2500 0.0000 [4 per cell]  6 Zr 2.84-2.87, 2 Zn 2.87

---

Record 19
The following is a DFT calculation (PBE) of a relaxed structure of Zr3Zn2.

## Properties
* energy of formation from the pure elements: -184 meV per atom
* D(E_F): 30.8 states/eV/cell

abc: 7.6246 7.6246 6.7904
angles: 90.00 90.00 90.00
Last column: nearest neighbours and their distance in Å.
Space group P4_2/mnm (No. 136)
Inequivalent atoms, fractional coordinates:
Zr 0.0000 0.5000 0.2500 [4 per cell]  4 Zn 3.06, 10 Zr 3.22-3.40
Zr 0.1509 0.1509 0.0000 [4 per cell]  6 Zn 2.80-2.93
Zr 0.2074 0.2074 0.5000 [4 per cell]  6 Zn 2.79-2.90
Zn 0.1197 0.8803 0.3051 [8 per cell]  2 Zn 2.58-2.65, 2 Zr 2.79-2.80

---

Record 20
The following is a DFT calculation (PBE) of a relaxed structure of Zr4Zn.

## Properties
* energy of formation from the pure elements: -10 meV per atom
* D(E_F): 22.4 states/eV/cell

abc: 7.4246 13.5082 5.3934
angles: 90.00 125.58 90.00
Last column: nearest neighbours and their distance in Å.
Space group C2/c (No. 15)
Inequivalent atoms, fractional coordinates:
Zr 0.1379 0.2112 0.1273 [8 per cell]  2 Zn 2.77-2.99, 4 Zr 2.90-3.06
Zr 0.2257 0.0621 0.6141 [8 per cell]  2 Zn 2.84-2.85, 4 Zr 2.99-3.18
Zn 0.0000 0.3949 0.7500 [4 per cell]  8 Zr 2.77-2.99